# 1
Ac2La6Er: relaxed, GGA-PBE.

The formation energy from the elements is 0.021 eV/atom.

a = 11.3002 Å, b = 5.3408 Å, c = 12.5032 Å
α = 64.71°, β = 90.00°, γ = 90.00°
Closest atoms and distances in Å follow each position.
Sites, in units of the cell vectors:
La1 0.1667 0.4996 0.0004  1 Er 3.77, 8 La 3.77, 3 Ac 3.77-3.79
Ac1 0.3358 0.1643 0.8357  10 La 3.74-3.80, 2 Er 3.74
La2 0.8333 0.5004 0.9996  1 Er 3.77, 8 La 3.77, 3 Ac 3.77-3.79
Er1 0.0000 0.5000 0.5000  4 Ac 3.74, 8 La 3.76-3.77
La3 0.4996 0.1670 0.3329  1 Er 3.76, 8 La 3.77-3.78, 3 Ac 3.77-3.79
La4 0.9996 0.8330 0.1671  1 Er 3.76, 8 La 3.77-3.78, 3 Ac 3.77-3.79
Ac2 0.1642 0.1643 0.3357  10 La 3.74-3.80, 2 Er 3.74
Er2 0.5000 0.5000 0.0000  4 Ac 3.74, 8 La 3.76-3.77
La5 0.6667 0.5004 0.4996  1 Er 3.77, 8 La 3.77, 3 Ac 3.77-3.79
La6 0.3333 0.4996 0.5004  1 Er 3.77, 8 La 3.77, 3 Ac 3.77-3.79
Ac3 0.8358 0.8357 0.6643  10 La 3.74-3.80, 2 Er 3.74
La7 0.1666 0.8330 0.6670  4 Ac 3.74-3.80, 6 La 3.77, 2 Er 3.77
La8 0.6666 0.1670 0.8330  4 Ac 3.74-3.80, 6 La 3.77, 2 Er 3.77
La9 0.3334 0.8330 0.1670  4 Ac 3.74-3.80, 6 La 3.77, 2 Er 3.77
Ac4 0.6642 0.8357 0.1643  10 La 3.74-3.80, 2 Er 3.74
La10 0.8334 0.1670 0.3330  4 Ac 3.74-3.80, 6 La 3.77, 2 Er 3.77
La11 0.5004 0.8330 0.6671  1 Er 3.76, 8 La 3.77-3.78, 3 Ac 3.77-3.79
La12 0.0004 0.1670 0.8329  1 Er 3.76, 8 La 3.77-3.78, 3 Ac 3.77-3.79



# 2
Y2MgOsC: relaxed, GGA-PBE.

The formation energy from the elements is -0.327 eV/atom. As for the excess energy over the best structure of this formula in the dataset: 0 meV per atom.

a = 5.0259 Å, b = 5.0259 Å, c = 3.9482 Å
α = 90.00°, β = 90.00°, γ = 90.00°
Closest atoms and distances in Å follow each position.
Sites, in units of the cell vectors:
Mg1 0.5000 0.5000 0.5000  8 Y 3.20, 4 Os 3.55
Os1 0.0000 0.0000 0.5000  2 C 1.97
Y1 0.0000 0.5000 0.0000  2 C 2.51
C1 0.0000 0.0000 0.0000  2 Os 1.97
Y2 0.5000 0.0000 0.0000  2 C 2.51



# 3
MgAsP: relaxed, GGA-PBE.

The formation energy from the elements is 0.075 eV/atom. As for the excess energy over the best structure of this formula in the dataset: 306 meV per atom.

a = 8.1558 Å, b = 8.1558 Å, c = 2.8262 Å
α = 80.01°, β = 80.01°, γ = 19.95°
Closest atoms and distances in Å follow each position.
Sites, in units of the cell vectors:
P1 0.7090 0.7090 0.2907  4 Mg 2.75, 4 P 2.83
Mg1 0.3286 0.3286 0.6720  4 P 2.75, 4 Mg 2.83, 4 As 2.91
As1 0.9624 0.9624 0.0373  4 As 2.83, 4 Mg 2.91



# 4
LaVHPd2: relaxed, GGA-PBE.

The total energy is -5.53 eV/atom.

a = 4.0930 Å, b = 4.6308 Å, c = 4.0930 Å
α = 90.00°, β = 90.00°, γ = 90.00°
Closest atoms and distances in Å follow each position.
Sites, in units of the cell vectors:
La1 0.0000 0.5000 0.0000  2 H 2.32
V1 0.5000 0.5000 0.5000  4 La 2.89, 8 Pd 3.09
H1 0.0000 0.0000 0.0000  4 Pd 2.05
Pd1 0.5000 0.0000 0.0000  2 H 2.05
Pd2 0.0000 0.0000 0.5000  2 H 2.05



# 5
UP2O7: relaxed, GGA-PBE.

As for the energy relative to the elements, uncorrected: -2521.0 meV per atom. As for the excess energy over the best structure of this formula in the dataset: 31 meV per atom.

a = 7.1113 Å, b = 11.6766 Å, c = 12.9890 Å
α = 90.00°, β = 90.00°, γ = 90.00°
Closest atoms and distances in Å follow each position.
Sites, in units of the cell vectors:
U1 0.2082 0.1408 0.3143  6 O 2.24-2.37
O1 0.2243 0.9762 0.0008  1 P 1.53
U2 0.2082 0.6408 0.1857  6 O 2.24-2.37
O2 0.1651 0.6335 0.0104  1 P 1.52
O3 0.1651 0.1335 0.4896  1 P 1.52
O4 0.3757 0.8429 0.6921  1 P 1.55
O5 0.3757 0.3429 0.8079  1 P 1.55
O6 0.9585 0.2982 0.0694  2 P 1.57-1.63
U3 0.7082 0.3592 0.8143  6 O 2.24-2.37
O7 0.4585 0.2018 0.5694  2 P 1.57-1.63
O8 0.1789 0.9513 0.3574  1 P 1.50
O9 0.7500 0.2616 0.6610  1 P 1.51
O10 0.7500 0.7616 0.8390  1 P 1.51
O11 0.1985 0.3258 0.3600  1 P 1.54
P1 0.7124 0.7055 0.1265  4 O 1.51-1.61
O12 0.8815 0.9901 0.8252  1 P 1.58
O13 0.3815 0.5099 0.3252  1 P 1.58
O14 0.1789 0.4513 0.1426  1 P 1.50
P2 0.1655 0.3333 0.0976  4 O 1.50-1.59
O15 0.7314 0.9206 0.3242  1 P 1.53
O16 0.1989 0.6658 0.6244  1 P 1.51
O17 0.5303 0.6450 0.1613  1 P 1.54
O18 0.0335 0.5179 0.3370  1 P 1.57
P3 0.2097 0.4547 0.3835  4 O 1.53-1.58
P4 0.7385 0.3271 0.0937  4 O 1.52-1.63
O19 0.6651 0.8665 0.5104  1 P 1.52
P5 0.2385 0.1729 0.5937  4 O 1.52-1.63
O20 0.2500 0.7384 0.3390  1 P 1.51
O21 0.5335 0.4821 0.6630  1 P 1.57
U4 0.7087 0.0232 0.1727  6 O 2.26-2.33
O22 0.5335 0.9821 0.8370  1 P 1.57
O23 0.8757 0.1571 0.3079  1 P 1.55
O24 0.3815 0.0099 0.1748  1 P 1.58
P6 0.7124 0.2055 0.3735  4 O 1.51-1.61
O25 0.7314 0.4206 0.1758  1 P 1.53
O26 0.2314 0.5794 0.8242  1 P 1.53
O27 0.6989 0.3342 0.3756  1 P 1.51
O28 0.1606 0.2875 0.6302  1 P 1.52
P7 0.7385 0.8271 0.4063  4 O 1.52-1.63
O29 0.1989 0.1658 0.8756  1 P 1.51
P8 0.7097 0.5453 0.6165  4 O 1.53-1.58
O30 0.0335 0.0179 0.1630  1 P 1.57
O31 0.2638 0.3378 0.9875  2 P 1.59-1.61
O32 0.7638 0.6622 0.0125  2 P 1.59-1.61
U5 0.7082 0.8592 0.6857  6 O 2.24-2.37
O33 0.4585 0.7018 0.9306  2 P 1.57-1.63
U6 0.2087 0.9768 0.8273  6 O 2.26-2.33
O34 0.2243 0.4762 0.4992  1 P 1.53
O35 0.6789 0.0487 0.6426  1 P 1.50
O36 0.7243 0.0238 0.9992  1 P 1.53
P9 0.2124 0.2945 0.8735  4 O 1.51-1.61
U7 0.7087 0.5232 0.3273  6 O 2.26-2.33
O37 0.8757 0.6571 0.1921  1 P 1.55
O38 0.6606 0.2125 0.1302  1 P 1.52
O39 0.9585 0.7982 0.4306  2 P 1.57-1.63
O40 0.7243 0.5238 0.5008  1 P 1.53
U8 0.2087 0.4768 0.6727  6 O 2.26-2.33
O41 0.1606 0.7875 0.8698  1 P 1.52
O42 0.1985 0.8258 0.1400  1 P 1.54
P10 0.2097 0.9547 0.1165  4 O 1.53-1.58
P11 0.1655 0.8333 0.4024  4 O 1.50-1.59
O43 0.5303 0.1450 0.3387  1 P 1.54
O44 0.8815 0.4901 0.6748  1 P 1.58
O45 0.2314 0.0794 0.6758  1 P 1.53
O46 0.0303 0.3550 0.8387  1 P 1.54
O47 0.2500 0.2384 0.1610  1 P 1.51
O48 0.6985 0.6742 0.6400  1 P 1.54
O49 0.7638 0.1622 0.4875  2 P 1.59-1.61
O50 0.6606 0.7125 0.3698  1 P 1.52
P12 0.6655 0.1667 0.5976  4 O 1.50-1.59
O51 0.2638 0.8378 0.5125  2 P 1.59-1.61
P13 0.2385 0.6729 0.9063  4 O 1.52-1.63
P14 0.2124 0.7945 0.6265  4 O 1.51-1.61
O52 0.6789 0.5487 0.8574  1 P 1.50
P15 0.7097 0.0453 0.8835  4 O 1.53-1.58
O53 0.0303 0.8550 0.6613  1 P 1.54
P16 0.6655 0.6667 0.9024  4 O 1.50-1.59
O54 0.6985 0.1742 0.8600  1 P 1.54
O55 0.6651 0.3665 0.9896  1 P 1.52
O56 0.6989 0.8342 0.1244  1 P 1.51



# 6
SrMg9Au2: relaxed, GGA-PBE.

The formation energy from the elements is -0.301 eV/atom.

a = 7.7043 Å, b = 9.3167 Å, c = 9.3167 Å
α = 80.16°, β = 65.58°, γ = 65.58°
Closest atoms and distances in Å follow each position.
Sites, in units of the cell vectors:
Sr1 0.5000 0.0000 0.0000  18 Mg 3.72-3.92, 4 Au 4.16
Mg1 0.6877 0.1765 0.5774  2 Au 2.87-2.88, 8 Mg 2.95-3.18
Mg2 0.0152 0.9226 0.6765  2 Au 2.87-2.88, 8 Mg 2.95-3.18
Mg3 0.1358 0.1765 0.4226  2 Au 2.87-2.88, 8 Mg 2.95-3.18
Mg4 0.7500 0.5000 0.5000  4 Au 3.15, 8 Mg 3.16
Au1 0.8750 0.2500 0.2500  10 Mg 2.87-3.15
Mg5 0.1358 0.4226 0.1765  2 Au 2.87-2.88, 8 Mg 2.95-3.18
Sr2 0.2500 0.5000 0.5000  18 Mg 3.72-3.92, 4 Au 4.16
Mg6 0.7348 0.5774 0.8235  2 Au 2.87-2.88, 8 Mg 2.95-3.18
Mg7 0.0623 0.9226 0.3235  2 Au 2.87-2.88, 8 Mg 2.95-3.18
Mg8 0.0000 0.0000 0.0000  4 Au 3.15, 8 Mg 3.16
Mg9 0.6142 0.3235 0.0774  2 Au 2.87-2.88, 8 Mg 2.95-3.18
Au2 0.3750 0.7500 0.7500  10 Mg 2.87-3.15
Mg10 0.0623 0.3235 0.9226  2 Au 2.87-2.88, 8 Mg 2.95-3.18
Mg11 0.6142 0.0774 0.3235  2 Au 2.87-2.88, 8 Mg 2.95-3.18
Mg12 0.3084 0.6765 0.0774  2 Au 2.87-2.88, 8 Mg 2.95-3.18
Mg13 0.0152 0.6765 0.9226  2 Au 2.87-2.88, 8 Mg 2.95-3.18
Mg14 0.4416 0.8235 0.4226  2 Au 2.87-2.88, 8 Mg 2.95-3.18
Au3 0.8750 0.2500 0.7500  10 Mg 2.87-3.15
Mg15 0.7348 0.8235 0.5774  2 Au 2.87-2.88, 8 Mg 2.95-3.18
Mg16 0.6877 0.5774 0.1765  2 Au 2.87-2.88, 8 Mg 2.95-3.18
Mg17 0.4416 0.4226 0.8235  2 Au 2.87-2.88, 8 Mg 2.95-3.18
Au4 0.8750 0.7500 0.2500  10 Mg 2.87-3.15
Mg18 0.3084 0.0774 0.6765  2 Au 2.87-2.88, 8 Mg 2.95-3.18



# 7
KSm3Pu2Se6: relaxed, GGA-PBE.

As for the energy relative to the elements, uncorrected: -1667.6 meV per atom.

a = 4.1869 Å, b = 8.5268 Å, c = 9.4638 Å
α = 103.26°, β = 102.78°, γ = 90.00°
Closest atoms and distances in Å follow each position.
Sites, in units of the cell vectors:
Se1 0.6719 0.0864 0.3437  3 Sm 2.93-3.01, 2 Pu 3.00, 1 K 3.08
Sm1 0.1649 0.8305 0.3299  6 Se 2.93-3.01
Se2 0.6665 0.5815 0.3330  3 Pu 2.96-2.97, 3 Sm 2.99
Pu1 0.1684 0.3361 0.3367  6 Se 2.96-3.00
Se3 0.3335 0.4185 0.6670  3 Pu 2.96-2.97, 3 Sm 2.99
Se4 0.3281 0.9136 0.6563  3 Sm 2.93-3.01, 2 Pu 3.00, 1 K 3.08
Se5 0.9987 0.7349 0.9974  3 Sm 2.90-2.98, 1 Pu 3.00, 2 K 3.08
Sm2 0.8351 0.1695 0.6701  6 Se 2.93-3.01
K1 0.5000 0.0000 0.0000  6 Se 3.08
Se6 0.0013 0.2651 0.0026  3 Sm 2.90-2.98, 1 Pu 3.00, 2 K 3.08
Pu2 0.8316 0.6639 0.6633  6 Se 2.96-3.00
Sm3 0.5000 0.5000 0.0000  6 Se 2.90-2.99



# 8
Al2NiSe: relaxed, GGA-PBE.

As for the energy relative to the elements, uncorrected: -247.3 meV per atom.

a = 3.4100 Å, b = 3.4039 Å, c = 6.1177 Å
α = 73.95°, β = 90.00°, γ = 90.00°
Closest atoms and distances in Å follow each position.
Sites, in units of the cell vectors:
Ni1 0.0000 0.7450 0.3863  5 Al 2.31-2.45
Al1 0.0000 0.9407 0.9928  1 Ni 2.31
Se1 0.5000 0.5297 0.8142  5 Al 2.63-2.90
Al2 0.5000 0.2846 0.3067  4 Ni 2.45



# 9
SmHo4Ge4: relaxed, GGA-PBE.

The formation energy from the elements is -0.577 eV/atom.

a = 5.7815 Å, b = 9.2227 Å, c = 9.2227 Å
α = 90.00°, β = 90.00°, γ = 90.00°
Closest atoms and distances in Å follow each position.
Sites, in units of the cell vectors:
Ge1 0.3924 0.3619 0.2151  1 Ge 2.72, 5 Ho 2.92-2.97, 1 Sm 2.99
Ho1 0.1113 0.1626 0.6004  5 Ge 2.92-2.97
Ge2 0.3924 0.6381 0.7849  1 Ge 2.72, 5 Ho 2.92-2.97, 1 Sm 2.99
Ge3 0.1076 0.1381 0.2849  1 Ge 2.72, 5 Ho 2.92-2.97, 1 Sm 2.99
Ge4 0.6076 0.7849 0.3619  1 Ge 2.72, 5 Ho 2.92-2.97, 1 Sm 2.99
Ge5 0.1076 0.8619 0.7151  1 Ge 2.72, 5 Ho 2.92-2.97, 1 Sm 2.99
Ho2 0.8887 0.6004 0.8374  5 Ge 2.92-2.97
Ge6 0.6076 0.2151 0.6381  1 Ge 2.72, 5 Ho 2.92-2.97, 1 Sm 2.99
Ho3 0.3887 0.6626 0.1004  5 Ge 2.92-2.97
Ho4 0.6113 0.1004 0.3374  5 Ge 2.92-2.97
Ge7 0.8924 0.2849 0.8619  1 Ge 2.72, 5 Ho 2.92-2.97, 1 Sm 2.99
Ho5 0.3887 0.3374 0.8996  5 Ge 2.92-2.97
Ho6 0.8887 0.3996 0.1626  5 Ge 2.92-2.97
Sm1 0.5000 0.5000 0.5000  4 Ge 2.99
Sm2 0.0000 0.0000 0.0000  4 Ge 2.99
Ho7 0.1113 0.8374 0.3996  5 Ge 2.92-2.97
Ge8 0.8924 0.7151 0.1381  1 Ge 2.72, 5 Ho 2.92-2.97, 1 Sm 2.99
Ho8 0.6113 0.8996 0.6626  5 Ge 2.92-2.97



# 10
CrAg2B: relaxed, GGA-PBE.

The formation energy from the elements is 1.032 eV/atom.

a = 3.6382 Å, b = 3.6382 Å, c = 9.7507 Å
α = 79.25°, β = 79.25°, γ = 90.00°
Closest atoms and distances in Å follow each position.
Sites, in units of the cell vectors:
Ag1 0.8750 0.8678 0.7500  4 Ag 2.54-2.61, 2 B 2.67, 2 Cr 2.69
Ag2 0.1322 0.6250 0.2500  4 Ag 2.54-2.61, 2 B 2.67, 2 Cr 2.69
Ag3 0.3750 0.3822 0.7500  4 Ag 2.54-2.61, 2 B 2.67, 2 Cr 2.69
Cr1 0.7500 0.2500 0.5000  4 B 2.57, 4 Ag 2.69
Ag4 0.6178 0.1250 0.2500  4 Ag 2.54-2.61, 2 B 2.67, 2 Cr 2.69
B1 0.5000 0.5000 0.0000  4 Cr 2.57, 4 Ag 2.67
B2 0.2500 0.7500 0.5000  4 Cr 2.57, 4 Ag 2.67
Cr2 0.0000 0.0000 0.0000  4 B 2.57, 4 Ag 2.69



# 11
Sm6Ag2Hg: relaxed, GGA-PBE.

The formation energy from the elements is -0.186 eV/atom. As for the excess energy over the best structure of this formula in the dataset: 0 meV per atom.

a = 8.8241 Å, b = 8.8241 Å, c = 8.8241 Å
α = 108.93°, β = 111.25°, γ = 108.25°
Closest atoms and distances in Å follow each position.
Sites, in units of the cell vectors:
Hg1 0.0000 0.0000 0.0000  8 Sm 3.25-3.28, 2 Ag 3.55
Ag1 0.5000 0.6343 0.1343  1 Ag 2.75, 2 Sm 3.02
Sm1 0.4437 0.2674 0.1763  1 Hg 3.28, 3 Ag 3.28-3.30, 1 Sm 3.51
Sm2 0.7215 0.0476 0.3261  3 Ag 3.02-3.24
Sm3 0.2785 0.6047 0.3261  3 Ag 3.02-3.24
Ag2 0.5000 0.3657 0.8657  1 Ag 2.75, 2 Sm 3.02
Sm4 0.8015 0.7489 0.5504  2 Ag 3.02-3.23, 2 Hg 3.23-3.25
Sm5 0.9089 0.7326 0.1763  1 Hg 3.28, 3 Ag 3.28-3.30, 1 Sm 3.51
Sm6 0.1985 0.2511 0.4496  2 Ag 3.02-3.23, 2 Hg 3.23-3.25
Sm7 0.2785 0.9524 0.6739  3 Ag 3.02-3.24
Sm8 0.8015 0.2511 0.0525  2 Ag 3.02-3.23, 2 Hg 3.23-3.25
Ag3 0.6434 0.0000 0.6434  1 Ag 2.86, 2 Sm 3.02
Sm9 0.7215 0.3953 0.6739  3 Ag 3.02-3.24
Sm10 0.5563 0.7326 0.8237  1 Hg 3.28, 3 Ag 3.28-3.30, 1 Sm 3.51
Sm11 0.0911 0.2674 0.8237  1 Hg 3.28, 3 Ag 3.28-3.30, 1 Sm 3.51
Sm12 0.1985 0.7489 0.9475  2 Ag 3.02-3.23, 2 Hg 3.23-3.25
Ag4 0.3566 0.0000 0.3566  1 Ag 2.86, 2 Sm 3.02
Hg2 0.0000 0.5000 0.5000  8 Sm 3.23-3.39



# 12
Te2PdN: relaxed, GGA-PBE.

As for the energy relative to the elements, uncorrected: 533.5 meV per atom. As for the excess energy over the best structure of this formula in the dataset: 109 meV per atom.

a = 5.6124 Å, b = 5.6124 Å, c = 7.0397 Å
α = 66.51°, β = 66.51°, γ = 90.00°
Closest atoms and distances in Å follow each position.
Sites, in units of the cell vectors:
N1 0.5000 0.5000 0.0000  4 Te 2.33
Te1 0.1680 0.6250 0.2500  2 N 2.33, 2 Pd 2.61
Te2 0.3750 0.4180 0.7500  2 N 2.33, 2 Pd 2.61
N2 0.2500 0.7500 0.5000  4 Te 2.33
Te3 0.5820 0.1250 0.2500  2 N 2.33, 2 Pd 2.61
Te4 0.8750 0.8320 0.7500  2 N 2.33, 2 Pd 2.61
Pd1 0.7500 0.2500 0.5000  4 Te 2.61
Pd2 0.0000 0.0000 0.0000  4 Te 2.61